The following is a DFT calculation (PBE-GGA) of a geometry-optimized NbPt4W structure.

Values from the calculation:
M_tot: 0.000 μB per formula unit
Total DFT energy (no corrections): -0.61035 Ry per atom
ρ: 18.32 Mg/m³
Energy of formation from the pure elements: -0.440 eV/atom

Structure (POSCAR):
```
NbPt4W
1.0
-2.538 1.077 0.572
-0.979 -2.587 0.525
3.119 1.180 11.611
Pt W Nb
4 1 1
direct
0.500 0.500 0.158 Pt
0.000 0.000 0.664 Pt
0.000 0.000 0.336 Pt
0.500 0.500 0.842 Pt
0.000 0.000 0.000 W
0.500 0.500 0.500 Nb
```